No. 1
12
Lattice="4.5552 -2.5568 0.0000 4.5552 2.5568 0.0000 0.0000 0.0000 4.8888" Properties=species:S:1:pos:R:3 comment="CrFe2N3 PBE-GGA relaxed" dos_at_fermi_per_ev_atom=0.51 vol_a3_per_cell=113.9 formation_energy_uncorrected_ev_per_atom=-0.15 total_magnetization_mub_per_fu=0.9 pbc="T T T"
Cr 4.5552 1.6861 2.4444
Cr 4.5552 -1.6861 0.0000
Fe 2.8294 0.9941 4.6444
Fe 6.2809 0.9941 4.6444
Fe 2.8294 -0.9941 2.2000
Fe 6.2809 -0.9941 2.2000
N 4.5552 1.6811 4.2897
N 3.2140 0.7248 1.5572
N 3.2140 -0.7248 4.0016
N 5.8963 0.7248 1.5572
N 5.8963 -0.7248 4.0016
N 4.5552 -1.6811 1.8453


No. 2
14
Lattice="6.6931 0.0000 0.0000 -3.3465 5.7964 0.0000 0.0000 0.0000 3.8293" Properties=species:S:1:pos:R:3 comment="CrFe3N3 PBE-GGA relaxed" dos_at_fermi_per_ev_atom=0.85 vol_a3_per_cell=148.6 formation_energy_uncorrected_ev_per_atom=-0.05 total_magnetization_mub_per_fu=5.7 pbc="T T T"
Cr 0.0000 3.8642 0.9573
Cr 3.3465 1.9321 2.8720
Fe 0.0000 1.8551 2.8720
Fe -1.7400 4.8688 2.8720
Fe 1.6065 0.9275 0.9573
Fe 1.7400 4.8688 2.8720
Fe 5.0865 0.9275 0.9573
Fe 3.3465 3.9413 0.9573
N 0.0000 2.0646 0.9573
N -1.5586 4.7641 0.9573
N 1.7880 1.0323 2.8720
N 1.5586 4.7641 0.9573
N 4.9051 1.0323 2.8720
N 3.3465 3.7318 2.8720


No. 3
12
Lattice="4.6720 0.0000 0.0000 0.0000 4.8359 0.0000 0.0000 0.0000 5.9625" Properties=species:S:1:pos:R:3 comment="Cr4FeN PBE-GGA relaxed" dos_at_fermi_per_ev_atom=0.94 vol_a3_per_cell=134.7 formation_energy_uncorrected_ev_per_atom=0.05 total_magnetization_mub_per_fu=0.8 pbc="T T T"
Cr 0.0000 0.7818 0.8086
Cr 0.0000 4.0541 5.1539
Cr 1.1680 1.6498 4.4719
Cr 1.1680 3.1861 1.4906
Cr 2.3360 0.7818 2.1727
Cr 2.3360 4.0541 3.7899
Cr 3.5040 1.6498 4.4719
Cr 3.5040 3.1861 1.4906
Fe 0.0000 0.0000 2.9813
Fe 2.3360 0.0000 0.0000
N 0.0000 2.4180 0.0000
N 2.3360 2.4180 2.9813


No. 4
28
Lattice="0.0000 5.2459 5.2459 5.2459 0.0000 5.2459 5.2459 5.2459 0.0000" Properties=species:S:1:pos:R:3 comment="Cr3Fe3N PBE-GGA relaxed" dos_at_fermi_per_ev_atom=1.27 vol_a3_per_cell=288.7 formation_energy_uncorrected_ev_per_atom=-0.08 total_magnetization_mub_per_fu=2.6 pbc="T T T"
Cr 3.9344 3.9344 0.7313
Cr 3.9344 0.7313 3.9344
Cr 7.1375 3.9344 3.9344
Cr 6.5573 6.5573 3.3542
Cr 6.5573 3.3542 6.5573
Cr 9.7605 6.5573 6.5573
Cr 0.7313 3.9344 3.9344
Cr 3.9344 7.1375 3.9344
Cr 3.9344 3.9344 7.1375
Cr 3.3542 6.5573 6.5573
Cr 6.5573 9.7605 6.5573
Cr 6.5573 6.5573 9.7605
Fe 5.2459 2.6229 2.6229
Fe 3.0416 3.0416 3.0416
Fe 4.8272 4.8272 3.0416
Fe 4.8272 3.0416 4.8272
Fe 7.4501 5.6646 5.6646
Fe 2.6229 5.2459 2.6229
Fe 2.6229 2.6229 5.2459
Fe 5.2459 5.2459 5.2459
Fe 3.0416 4.8272 4.8272
Fe 5.6646 7.4501 5.6646
Fe 5.6646 5.6646 7.4501
Fe 7.4501 7.4501 7.4501
N 0.0000 0.0000 0.0000
N 2.6229 2.6229 0.0000
N 2.6229 0.0000 2.6229
N 0.0000 2.6229 2.6229


No. 5
3
Lattice="2.9306 0.0000 0.0000 -1.4653 2.5379 0.0000 0.0000 0.0000 4.1250" Properties=species:S:1:pos:R:3 comment="CrFeN PBE-GGA relaxed" dos_at_fermi_per_ev_atom=1.00 vol_a3_per_cell=30.7 formation_energy_uncorrected_ev_per_atom=-0.06 total_magnetization_mub_per_fu=0.9 pbc="T T T"
Cr 0.0000 0.0000 0.0000
Fe 1.4653 0.8460 1.9856
N 0.0000 1.6920 0.8840


No. 6
24
Lattice="2.5620 -4.3663 0.0000 2.5620 4.3663 0.0000 -1.5766 0.0000 9.9029" Properties=species:S:1:pos:R:3 comment="CrFe2N3 PBE-GGA relaxed" dos_at_fermi_per_ev_atom=0.76 vol_a3_per_cell=221.6 formation_energy_uncorrected_ev_per_atom=0.03 total_magnetization_mub_per_fu=1.5 pbc="T T T"
Cr 0.4939 0.4026 3.4169
Cr -0.2944 -0.4026 8.3683
Cr 3.8418 0.4026 1.5346
Cr 3.0535 -0.4026 6.4860
Fe 0.1932 1.3329 6.7958
Fe 1.6986 1.0742 0.4973
Fe 0.9815 -1.3329 1.8443
Fe 0.9103 -1.0742 5.4487
Fe 2.6371 1.0742 4.4541
Fe 2.5659 1.3329 8.0585
Fe 1.8488 -1.0742 9.4056
Fe 3.3542 -1.3329 3.1071
N 1.7141 2.9111 1.2583
N 1.3795 2.6404 7.4271
N 0.8045 0.8931 5.1197
N 2.6216 2.9111 3.6931
N 1.5929 -0.8931 0.1683
N 2.1679 0.1793 2.4757
N 1.3795 -0.1793 7.4271
N 1.9545 0.8931 9.7346
N 0.9258 -2.9111 6.2097
N 2.7429 -0.8931 4.7832
N 2.1679 -2.6404 2.4757
N 1.8333 -2.9111 8.6445


No. 7
5
Lattice="3.7735 0.0000 0.0000 0.0000 3.7735 0.0000 0.0000 0.0000 3.7584" Properties=species:S:1:pos:R:3 comment="CrFe2NiN PBE-GGA relaxed" dos_at_fermi_per_ev_atom=1.58 vol_a3_per_cell=53.5 formation_energy_uncorrected_ev_per_atom=-0.05 total_magnetization_mub_per_fu=5.6 pbc="T T T"
Cr 0.0000 0.0000 0.0000
Fe 0.0000 1.8867 1.8792
Fe 1.8867 0.0000 1.8792
Ni 1.8867 1.8867 0.0000
N 0.0000 0.0000 1.8792


What are the density values for these records? In order: 5999; 5847; 6849; 7765; 6595; 6167; 7335 kg/m3.